# 1
## CaCoMo2 (PBE)

Data for a relaxed structure of CaCoMo2.

Calculated values
Formation energy in kJ/mol of formula units: 218
Total moment in μB/atom: 0.00
Distance to the lowest polymorph of the same formula in meV/atom: 139.9
Calculated volume in Å³ per atom: 18.87
Theoretical density in kg/m³: 6398

a = 9.1476 Å, b = 3.0570 Å, c = 5.6302 Å
α = 90.00°, β = 106.46°, γ = 90.00°
Space group Cm (No. 8)
Symmetry-distinct sites (fractional):
1 Ca 0.0000 0.0000 0.0000 (multiplicity 2)
2 Co 0.2373 0.0000 0.6847 (multiplicity 2)
3 Mo 0.0194 0.5000 0.5221 (multiplicity 2)
4 Mo 0.2965 0.5000 0.3647 (multiplicity 2)

=====

# 2
## Sr2ZnRh (PBE)

Data for a relaxed structure of Sr2ZnRh.

Calculated values
Formation energy in kJ/mol of formula units: -46
Total moment in μB/atom: 0.00
Calculated volume in Å³ per atom: 26.26
Theoretical density in kg/m³: 5430

a = 5.2841 Å, b = 5.2841 Å, c = 3.7625 Å
α = 90.00°, β = 90.00°, γ = 90.00°
Space group P4/mmm (No. 123)
Symmetry-distinct sites (fractional):
1 Sr 0.0000 0.5000 0.0000 (multiplicity 2)
2 Zn 0.0000 0.0000 0.5000 (multiplicity 1)
3 Rh 0.5000 0.5000 0.5000 (multiplicity 1)

=====

# 3
## Tm3ZnSe2 (PBE)

Data for a relaxed structure of Tm3ZnSe2.

Calculated values
Total moment in μB/atom: 0.00
Electronic total energy in eV for the cell shown: -58.00
Calculated volume in Å³ per atom: 23.41
Theoretical density in kg/m³: 8631

a = 3.9018 Å, b = 5.7323 Å, c = 12.5611 Å
α = 90.00°, β = 90.00°, γ = 90.00°
Space group Immm (No. 71)
Symmetry-distinct sites (fractional):
1 Tm 0.0000 0.0000 0.0000 (multiplicity 2)
2 Tm 0.0000 0.0000 0.3345 (multiplicity 4)
3 Zn 0.0000 0.5000 0.0000 (multiplicity 2)
4 Se 0.0000 0.5000 0.3314 (multiplicity 4)

=====

# 4
## Ga2H6Au (PBE)

Data for a relaxed structure of Ga2H6Au.

Calculated values
Total moment in μB/atom: 0.00
Electronic total energy in eV for the cell shown: -101.24
Calculated volume in Å³ per atom: 13.27
Theoretical density in kg/m³: 4761

a = 7.8178 Å, b = 7.8178 Å, c = 7.8178 Å
α = 90.00°, β = 90.00°, γ = 90.00°
Space group Fm-3m (No. 225)
Symmetry-distinct sites (fractional):
1 Ga 0.2500 0.2500 0.2500 (multiplicity 8)
2 H 0.0000 0.0000 0.2176 (multiplicity 24)
3 Au 0.0000 0.0000 0.0000 (multiplicity 4)

=====

# 5
## Sc2Be2AlRu5 (PBE)

Data for a relaxed structure of Sc2Be2AlRu5.

Calculated values
Formation energy in kJ/mol of formula units: -409
Total moment in μB/atom: 0.00
Calculated volume in Å³ per atom: 13.92
Theoretical density in kg/m³: 7635

a = 9.3209 Å, b = 9.3209 Å, c = 3.2055 Å
α = 90.00°, β = 90.00°, γ = 90.00°
Space group P4/mbm (No. 127)
Symmetry-distinct sites (fractional):
1 Sc 0.1721 0.3279 0.0000 (multiplicity 4)
2 Be 0.1263 0.6263 0.0000 (multiplicity 4)
3 Al 0.0000 0.0000 0.0000 (multiplicity 2)
4 Ru 0.0000 0.5000 0.5000 (multiplicity 2)
5 Ru 0.0692 0.7953 0.5000 (multiplicity 8)

=====

# 6
## Sn3MoSe (PBE)

Data for a relaxed structure of Sn3MoSe.

Calculated values
Total moment in μB/atom: 0.84
Distance to the lowest polymorph of the same formula in meV/atom: 745.5
Calculated volume in Å³ per atom: 32.28
Theoretical density in kg/m³: 5463

a = 5.4448 Å, b = 5.4448 Å, c = 5.4448 Å
α = 90.00°, β = 90.00°, γ = 90.00°
Space group Pm-3m (No. 221)
Symmetry-distinct sites (fractional):
1 Sn 0.0000 0.0000 0.5000 (multiplicity 3)
2 Mo 0.5000 0.5000 0.5000 (multiplicity 1)
3 Se 0.0000 0.0000 0.0000 (multiplicity 1)

=====

Which of these has the highest theoretical density? Tm3ZnSe2